Record 1
This record from the Alexandria database describes a relaxed structure of TbSm4Cu4. The functional is PBE.

Summary:
As for the energy: -40.0 eV/f.u. As for the total magnetic moment: 0.00 μB/cell.

Cell: 6.2745 8.5148 8.5148 Å, 90.00 90.00 90.00°
Closest atoms and distances in Å follow each position.
Fractional coordinates of all 18 atoms:
Cu  0.1442  0.1243  0.2695  1 Cu 2.54, 1 Tb 2.68, 1 Sm 2.81
Cu  0.6442  0.2305  0.6243  1 Cu 2.54, 1 Tb 2.68, 1 Sm 2.81
Tb  0.0000  0.0000  0.0000  4 Cu 2.68
Sm  0.9013  0.4115  0.2041  4 Cu 2.81-3.06
Cu  0.3558  0.3757  0.2305  1 Cu 2.54, 1 Tb 2.68, 1 Sm 2.81
Cu  0.3558  0.6243  0.7695  1 Cu 2.54, 1 Tb 2.68, 1 Sm 2.81
Cu  0.1442  0.8757  0.7305  1 Cu 2.54, 1 Tb 2.68, 1 Sm 2.81
Sm  0.0987  0.7959  0.4115  4 Cu 2.81-3.06
Cu  0.6442  0.7695  0.3757  1 Cu 2.54, 1 Tb 2.68, 1 Sm 2.81
Cu  0.8558  0.2695  0.8757  1 Cu 2.54, 1 Tb 2.68, 1 Sm 2.81
Sm  0.5987  0.9115  0.7041  4 Cu 2.81-3.06
Sm  0.4013  0.7041  0.0885  4 Cu 2.81-3.06
Sm  0.4013  0.2959  0.9115  4 Cu 2.81-3.06
Sm  0.5987  0.0885  0.2959  4 Cu 2.81-3.06
Sm  0.9013  0.5885  0.7959  4 Cu 2.81-3.06
Tb  0.5000  0.5000  0.5000  4 Cu 2.68
Sm  0.0987  0.2041  0.5885  4 Cu 2.81-3.06
Cu  0.8558  0.7305  0.1243  1 Cu 2.54, 1 Tb 2.68, 1 Sm 2.81

---

Record 2
This record from the Alexandria database describes a relaxed structure of MgZnCd2. The functional is PBE.

Summary:
As for the energy: -4.6 eV/f.u. For the energy above the most stable polymorph in this dataset, the calculation gives 42 meV per atom. As for the total magnetic moment: 0.00 μB/cell.

Cell: 4.8763 4.8763 4.8763 Å, 60.00 60.00 60.00°
Closest atoms and distances in Å follow each position.
Fractional coordinates of all 4 atoms:
Mg  0.5000  0.5000  0.5000  4 Zn 2.99, 4 Cd 2.99
Cd  0.2500  0.2500  0.2500  4 Mg 2.99, 4 Cd 2.99
Cd  0.0000  0.0000  0.0000  4 Cd 2.99, 4 Zn 2.99
Zn  0.7500  0.7500  0.7500  4 Cd 2.99, 4 Mg 2.99

---

- What is the total magnetic moment in the second record?
  0.00 μB/cell